Entry from Alexandria via LeMat-Bulk: an optimized crystal structure of Na2Fe2Br7 (PBE).

Calculated values
**Offset from the most stable computed form**: 3 meV per atom
**N(E_F)**: 6.43 states/eV per cell
**Symmetry**: C2/m
**E_form (uncorrected)**: -0.83 eV per atom
**Calculated volume**: 387.0 Å³/cell

Lattice parameters (Å, degrees): 6.7541 7.7562 7.7562 102.87 97.64 97.64
Closest atoms and distances in Å follow each position.
Fractional positions:
Br 0.7800 0.5939 0.9215  1 Fe 2.38
Br 0.2702 0.6063 0.6063  1 Fe 2.38
Br 0.7800 0.9215 0.5939  1 Fe 2.38
Br 0.2200 0.4061 0.0785  1 Fe 2.38
Br 0.7298 0.3937 0.3937  1 Fe 2.38
Br 0.5000 0.0000 0.0000  2 Fe 2.43
Fe 0.4110 0.2307 0.2307  4 Br 2.38-2.43
Na 0.0000 0.6956 0.3044  6 Br 3.02-3.19
Br 0.2200 0.0785 0.4061  1 Fe 2.38
Na 0.0000 0.3044 0.6956  6 Br 3.02-3.19
Fe 0.5890 0.7693 0.7693  4 Br 2.38-2.43



Entry from Alexandria via LeMat-Bulk: an optimized crystal structure of Na6FeBr8 (PBE).

Calculated values
**N(E_F)**: 8.26 states/eV per cell
**Symmetry**: Fm-3m
**E_form (uncorrected)**: -1.32 eV per atom
**Calculated volume**: 425.0 Å³/cell

Lattice parameters (Å, degrees): 8.4391 8.4391 8.4391 60.00 60.00 60.00
Closest atoms and distances in Å follow each position.
Fractional positions:
Br 0.2245 0.2245 0.7755  1 Fe 2.68, 4 Na 3.00
Br 0.7500 0.7500 0.7500  6 Na 2.98
Na 0.0000 0.5000 0.5000  6 Br 2.98-3.00
Br 0.7755 0.7755 0.2245  1 Fe 2.68, 4 Na 3.00
Na 0.5000 0.5000 0.0000  6 Br 2.98-3.00
Fe 0.0000 0.0000 0.0000  6 Br 2.68
Na 0.5000 0.0000 0.5000  6 Br 2.98-3.00
Na 0.0000 0.0000 0.5000  6 Br 2.98-3.00
Br 0.7755 0.2245 0.2245  1 Fe 2.68, 4 Na 3.00
Br 0.2500 0.2500 0.2500  6 Na 2.98
Na 0.0000 0.5000 0.0000  6 Br 2.98-3.00
Na 0.5000 0.0000 0.0000  6 Br 2.98-3.00
Br 0.7755 0.2245 0.7755  1 Fe 2.68, 4 Na 3.00
Br 0.2245 0.7755 0.2245  1 Fe 2.68, 4 Na 3.00
Br 0.2245 0.7755 0.7755  1 Fe 2.68, 4 Na 3.00